# LaSbTeH

An optimized crystal structure of LaSbTeH (PBE, the Alexandria database). Values from VASP.

Calculated total energy = -4.5111 eV per atom
N(E_F) = 0.20 states/eV/atom
Distance to the lowest polymorph of the same formula = 0.035 eV/atom

Geometry as Quantum ESPRESSO input:
```
&SYSTEM
  ibrav = 0, nat = 4, ntyp = 4
/
ATOMIC_SPECIES
La 138.91 La.upf
Sb 121.76 Sb.upf
Te 127.60 Te.upf
H 1.01 H.upf
CELL_PARAMETERS angstrom
-2.400 -3.112 0.967
3.136 -2.970 -2.199
2.290 2.381 5.091
ATOMIC_POSITIONS crystal
La 0.279 0.522 0.535
Sb 0.520 0.212 0.014
Te 0.038 0.730 0.050
H 0.781 0.740 0.529
```

=====

# Pr6As2Se3Br

An optimized crystal structure of Pr6As2Se3Br (PBE, the Alexandria database). Values from VASP.

Calculated total energy = -5.8338 eV per atom
Formation energy without anion corrections = -1.6585 eV/atom
N(E_F) = 0.44 states/eV/atom

Geometry as Quantum ESPRESSO input:
```
&SYSTEM
  ibrav = 0, nat = 12, ntyp = 4
/
ATOMIC_SPECIES
Pr 140.91 Pr.upf
As 74.92 As.upf
Se 78.96 Se.upf
Br 79.90 Br.upf
CELL_PARAMETERS angstrom
4.294 0.000 0.000
0.000 8.605 0.356
-2.147 -2.431 9.031
ATOMIC_POSITIONS crystal
Pr 0.323 0.901 0.645
Pr 0.669 0.579 0.339
Pr 0.677 0.099 0.355
Pr 0.005 0.275 0.010
Pr 0.995 0.725 0.990
Pr 0.331 0.421 0.661
As 0.834 0.668 0.667
As 0.166 0.332 0.333
Se 0.500 0.500 0.000
Se 0.839 0.165 0.679
Se 0.161 0.835 0.321
Br 0.500 0.000 0.000
```

=====

# TmCo7B5

An optimized crystal structure of TmCo7B5 (PBE, the Alexandria database). Values from VASP.

Calculated total energy = -6.8523 eV per atom
Energy of formation = -0.114 eV per atom
N(E_F) = 0.76 states/eV/atom

Geometry as Quantum ESPRESSO input:
```
&SYSTEM
  ibrav = 0, nat = 13, ntyp = 3
/
ATOMIC_SPECIES
Tm 168.93 Tm.upf
Co 58.93 Co.upf
B 10.81 B.upf
CELL_PARAMETERS angstrom
-2.678 -2.269 -2.945
2.646 -1.505 -4.811
-0.417 -5.569 1.106
ATOMIC_POSITIONS crystal
Tm 0.008 0.992 0.992
Co 0.667 0.333 0.333
Co 0.349 0.651 0.651
Co 0.939 0.402 0.720
Co 0.939 0.720 0.402
Co 0.252 0.248 0.248
Co 0.547 0.740 0.166
Co 0.547 0.166 0.740
B 0.455 0.009 0.472
B 0.064 0.009 0.472
B 0.455 0.472 0.009
B 0.064 0.472 0.009
B 0.714 0.786 0.786
```

=====

# Tm2GaRh

An optimized crystal structure of Tm2GaRh (PBE, the Alexandria database). Values from VASP.

Calculated total energy = -5.6153 eV per atom
Energy of formation = -0.785 eV per atom
N(E_F) = 0.53 states/eV/atom

Geometry as Quantum ESPRESSO input:
```
&SYSTEM
  ibrav = 0, nat = 4, ntyp = 3
/
ATOMIC_SPECIES
Tm 168.93 Tm.upf
Rh 102.91 Rh.upf
Ga 69.72 Ga.upf
CELL_PARAMETERS angstrom
-2.371 -2.443 -0.627
1.902 -1.167 -2.646
3.313 -4.314 4.284
ATOMIC_POSITIONS crystal
Tm 0.000 0.000 0.766
Tm 0.000 0.000 0.234
Rh 0.500 0.500 0.000
Ga 0.500 0.500 0.500
```